VASP calculation (PBE) on AcTlOsO6 after structural relaxation.

The value obtained for the formation energy from raw total energies is -1.5452 eV/atom. The calculation puts the volume at 173 Å³ per cell. The space group is P312 (149). The value obtained for the total magnetization is 0.00 μB/cell.

a = 5.986 Å, b = 5.986 Å, c = 5.569 Å
α = 90.00°, β = 90.00°, γ = 60.00°
Fractional positions:
1 O 0.346 0.069 0.693
2 O 0.069 0.346 0.307
3 O 0.346 0.585 0.307
4 O 0.585 0.069 0.307
5 O 0.069 0.585 0.693
6 O 0.585 0.346 0.693
7 Tl 0.000 0.000 0.000
8 Ac 0.667 0.667 0.500
9 Os 0.333 0.333 0.500

=====

VASP calculation (PBE) on AcTm2OsO8 after structural relaxation.

The value obtained for the formation energy from raw total energies is -2.5227 eV/atom. For the density of states at the Fermi level, the calculation gives 0.36 states/eV/atom. The calculation puts the volume at 179 Å³ per cell. The space group is P2/m (10). The value obtained for the total magnetization is 1.04 μB/cell.

a = 5.066 Å, b = 5.064 Å, c = 6.988 Å
α = 90.00°, β = 90.00°, γ = 88.27°
Site moments in Bohr magnetons follow the coordinates.
Fractional positions:
1 O 0.810 0.191 0.196  0.04
2 O 0.262 0.262 0.000  0.01
3 O 0.810 0.191 0.804  0.04
4 O 0.674 0.676 0.500  0.00
5 O 0.190 0.809 0.804  0.04
6 O 0.326 0.324 0.500  0.00
7 O 0.738 0.738 0.000  0.01
8 O 0.190 0.809 0.196  0.04
9 Os 0.000 0.000 0.000  0.69
10 Ac 0.000 0.000 0.500  0.01
11 Tm 0.500 0.500 0.253  0.03
12 Tm 0.500 0.500 0.747  0.03

=====

VASP calculation (PBE) on Ac2TmOsO8 after structural relaxation.

The value obtained for the formation energy from raw total energies is -2.4203 eV/atom. For the density of states at the Fermi level, the calculation gives 0.05 states/eV/atom. The calculation puts the volume at 191 Å³ per cell. The space group is P-1 (2). The value obtained for the total magnetization is 1.02 μB/cell.

a = 4.940 Å, b = 5.471 Å, c = 7.075 Å
α = 90.08°, β = 88.05°, γ = 92.86°
Site moments in Bohr magnetons follow the coordinates.
Fractional positions:
1 O 0.683 0.717 0.528  0.00
2 O 0.305 0.196 0.036  -0.02
3 O 0.695 0.804 0.964  -0.02
4 O 0.832 0.150 0.223  0.07
5 O 0.168 0.850 0.777  0.07
6 O 0.317 0.283 0.472  0.00
7 O 0.112 0.768 0.196  0.07
8 O 0.888 0.232 0.804  0.07
9 Ac 0.421 0.473 0.756  0.01
10 Ac 0.579 0.527 0.244  0.01
11 Os 0.000 0.000 0.000  0.66
12 Tm 0.000 0.000 0.500  0.06

=====

VASP calculation (PBE) on Ac2TmOs3O12 after structural relaxation.

The value obtained for the formation energy from raw total energies is -1.9021 eV/atom. For the density of states at the Fermi level, the calculation gives 0.59 states/eV/atom. The calculation puts the volume at 245 Å³ per cell. The space group is R-3m (166). The value obtained for the total magnetization is 1.85 μB/cell.

a = 6.797 Å, b = 6.797 Å, c = 6.797 Å
α = 64.65°, β = 64.65°, γ = 64.65°
Site moments in Bohr magnetons follow the coordinates.
Fractional positions:
1 O 0.862 0.862 0.411  0.02
2 O 0.138 0.138 0.589  0.02
3 O 0.284 0.284 0.883  0.04
4 O 0.716 0.716 0.117  0.04
5 O 0.589 0.138 0.138  0.02
6 O 0.862 0.411 0.862  0.02
7 O 0.716 0.117 0.716  0.04
8 O 0.411 0.862 0.862  0.02
9 O 0.138 0.589 0.138  0.02
10 O 0.117 0.716 0.716  0.04
11 O 0.284 0.883 0.284  0.04
12 O 0.883 0.284 0.284  0.04
13 Os 0.000 0.000 0.500  0.42
14 Os 0.500 0.000 0.000  0.42
15 Os 0.000 0.500 0.000  0.42
16 Ac 0.378 0.378 0.378  0.01
17 Ac 0.622 0.622 0.622  0.01
18 Tm 0.000 0.000 0.000  0.01